Below is a relaxed LiBPbF6 crystal, with properties calculated at the PBE-GGA level.

Values from the calculation:
Fermi-level density of states ... 0.00 states/eV per cell
Formation energy (no corrections) ... -2.428 eV/atom

CIF file:
```
data_LiBPbF6
_cell_length_a 4.9870
_cell_length_b 4.9870
_cell_length_c 5.1079
_cell_angle_alpha 90.00
_cell_angle_beta 90.00
_cell_angle_gamma 120.00
_space_group_name_H-M_alt 'P 3 1 2'
_space_group_IT_number 149
loop_
_space_group_symop_operation_xyz
'x,y,z'
'-y,x-y,z'
'-x+y,-x,z'
'-y,-x,-z'
'-x+y,y,-z'
'x,x-y,-z'
loop_
_atom_site_label
_atom_site_type_symbol
_atom_site_fract_x
_atom_site_fract_y
_atom_site_fract_z
Li1 Li 0.0000 0.0000 0.0000
B1 B 0.3333 0.6667 0.0000
Pb1 Pb 0.6667 0.3333 0.5000
F1 F 0.0729 0.3894 0.1855
```